1.
Material: Ce3Zn4Ga
Method: DFT, PBE
State: optimized geometry

Properties
Energy relative to the elements = -28.1 kJ/mol of formula units
Crystal system = orthorhombic

```
data_Ce3Zn4Ga
_chemical_formula_sum 'Ce6 Zn8 Ga2'
_symmetry_space_group_name_H-M 'I m m m'
_symmetry_Int_Tables_number 71
_symmetry_space_group_name_Hall '-I 2 2'
_cell_length_a 4.773
_cell_length_b 6.495
_cell_length_c 12.702
_cell_angle_alpha 90.00
_cell_angle_beta 90.00
_cell_angle_gamma 90.00
loop_
_atom_site_label
_atom_site_type_symbol
_atom_site_fract_x
_atom_site_fract_y
_atom_site_fract_z
Ce1 Ce 0.000 0.000 0.000
Ce2 Ce 0.000 0.500 0.160
Zn1 Zn 0.000 0.301 0.369
Ga1 Ga 0.000 0.000 0.500
```

***

2.
Material: CeZn3Ga3
Method: DFT, PBE
State: optimized geometry

Properties
Energy relative to the elements = -153.5 kJ/mol of formula units
Crystal system = trigonal
Offset from the most stable computed form = 0 meV per atom

```
data_CeZn3Ga3
_chemical_formula_sum 'Ce6 Zn18 Ga18'
_symmetry_space_group_name_H-M 'R -3 m'
_symmetry_Int_Tables_number 166
_symmetry_space_group_name_Hall '-R 3 2"'
_cell_length_a 7.3346
_cell_length_b 7.3346
_cell_length_c 16.7672
_cell_angle_alpha 90.00
_cell_angle_beta 90.00
_cell_angle_gamma 120.00
loop_
_atom_site_label
_atom_site_type_symbol
_atom_site_fract_x
_atom_site_fract_y
_atom_site_fract_z
Ce1 Ce 0.0000 0.0000 0.1268
Zn1 Zn 0.0827 0.5413 0.1058
Ga1 Ga 0.0739 0.5369 0.3617
```

***

3.
Material: Ce2Zn9Ga
Method: DFT, PBE
State: optimized geometry

Properties
Energy relative to the elements = -93.1 kJ/mol of formula units
Crystal system = trigonal

```
data_Ce2Zn9Ga
_chemical_formula_sum 'Ce6 Zn27 Ga3'
_symmetry_space_group_name_H-M 'R -3 m'
_symmetry_Int_Tables_number 166
_symmetry_space_group_name_Hall '-R 3 2"'
_cell_length_a 5.5342
_cell_length_b 5.5342
_cell_length_c 25.4284
_cell_angle_alpha 90.00
_cell_angle_beta 90.00
_cell_angle_gamma 120.00
loop_
_atom_site_label
_atom_site_type_symbol
_atom_site_fract_x
_atom_site_fract_y
_atom_site_fract_z
Ce1 Ce 0.0000 0.0000 0.1443
Zn1 Zn 0.0000 0.0000 0.3348
Zn2 Zn 0.0000 0.0000 0.5000
Zn3 Zn 0.0042 0.5021 0.9183
Ga1 Ga 0.0000 0.0000 0.0000
```

***

4.
Material: CeZr2Ga
Method: DFT, PBE
State: optimized geometry

Properties
Energy relative to the elements = -28.7 kJ/mol of formula units
Crystal system = trigonal
Offset from the most stable computed form = 163 meV per atom

```
data_CeZr2Ga
_chemical_formula_sum 'Ce3 Zr6 Ga3'
_symmetry_space_group_name_H-M 'R -3 m'
_symmetry_Int_Tables_number 166
_symmetry_space_group_name_Hall '-R 3 2"'
_cell_length_a 3.3054
_cell_length_b 3.3054
_cell_length_c 29.0067
_cell_angle_alpha 90.00
_cell_angle_beta 90.00
_cell_angle_gamma 120.00
loop_
_atom_site_label
_atom_site_type_symbol
_atom_site_fract_x
_atom_site_fract_y
_atom_site_fract_z
Ce1 Ce 0.0000 0.0000 0.0000
Zr1 Zr 0.0000 0.0000 0.2431
Ga1 Ga 0.0000 0.0000 0.5000
```

***

5.
Material: CeZr2Ga6
Method: DFT, PBE
State: optimized geometry

Properties
Energy relative to the elements = -424.2 kJ/mol of formula units
Crystal system = hexagonal
Offset from the most stable computed form = 0 meV per atom

```
data_CeZr2Ga6
_chemical_formula_sum 'Ce1 Zr2 Ga6'
_symmetry_space_group_name_H-M 'P 6/m m m'
_symmetry_Int_Tables_number 191
_symmetry_space_group_name_Hall '-P 6 2'
_cell_length_a 7.2616
_cell_length_b 7.2616
_cell_length_c 3.8019
_cell_angle_alpha 90.00
_cell_angle_beta 90.00
_cell_angle_gamma 120.00
loop_
_atom_site_label
_atom_site_type_symbol
_atom_site_fract_x
_atom_site_fract_y
_atom_site_fract_z
Ce1 Ce 0.0000 0.0000 0.0000
Zr1 Zr 0.3333 0.6667 0.0000
Ga1 Ga 0.0000 0.3369 0.5000
```

***

6.
Material: CeZrGa
Method: DFT, PBE
State: optimized geometry

Properties
Energy relative to the elements = -89.4 kJ/mol of formula units
Crystal system = orthorhombic
Offset from the most stable computed form = 0 meV per atom

```
data_CeZrGa
_chemical_formula_sum 'Ce4 Zr4 Ga4'
_symmetry_space_group_name_H-M 'P n m a'
_symmetry_Int_Tables_number 62
_cell_length_a 7.797
_cell_length_b 4.333
_cell_length_c 8.507
_cell_angle_alpha 90.00
_cell_angle_beta 90.00
_cell_angle_gamma 90.00
loop_
_symmetry_equiv_pos_as_xyz
'x,y,z'
'-x,-y,-z'
'-x+1/2,-y,z+1/2'
'x+1/2,y,-z+1/2'
'x+1/2,-y+1/2,-z+1/2'
'-x+1/2,y+1/2,z+1/2'
'-x,y+1/2,-z'
'x,-y+1/2,z'
loop_
_atom_site_label
_atom_site_type_symbol
_atom_site_fract_x
_atom_site_fract_y
_atom_site_fract_z
Ce1 Ce 0.025 0.250 0.162
Zr1 Zr 0.133 0.250 0.549
Ga1 Ga 0.229 0.750 0.359
```

***

7.
Material: Ce2ZrGa
Method: DFT, PBE
State: optimized geometry

Properties
Energy relative to the elements = 18.2 kJ/mol of formula units
Crystal system = trigonal
Offset from the most stable computed form = 303 meV per atom

```
data_Ce2ZrGa
_chemical_formula_sum 'Ce6 Zr3 Ga3'
_symmetry_space_group_name_H-M 'R -3 m'
_symmetry_Int_Tables_number 166
_symmetry_space_group_name_Hall '-R 3 2"'
_cell_length_a 3.0867
_cell_length_b 3.0867
_cell_length_c 34.2055
_cell_angle_alpha 90.00
_cell_angle_beta 90.00
_cell_angle_gamma 120.00
loop_
_atom_site_label
_atom_site_type_symbol
_atom_site_fract_x
_atom_site_fract_y
_atom_site_fract_z
Ce1 Ce 0.0000 0.0000 0.0901
Zr1 Zr 0.0000 0.0000 0.0000
Ga1 Ga 0.0000 0.0000 0.5000
```

***

8.
Material: CeZr2Ga
Method: DFT, PBE
State: optimized geometry

Properties
Energy relative to the elements = -40.5 kJ/mol of formula units
Crystal system = trigonal
Offset from the most stable computed form = 133 meV per atom

```
data_CeZr2Ga
_chemical_formula_sum 'Ce3 Zr6 Ga3'
_symmetry_space_group_name_H-M 'R 3 m'
_symmetry_Int_Tables_number 160
_symmetry_space_group_name_Hall 'R 3 -2"'
_cell_length_a 5.0431
_cell_length_b 5.0431
_cell_length_c 12.2895
_cell_angle_alpha 90.00
_cell_angle_beta 90.00
_cell_angle_gamma 120.00
loop_
_atom_site_label
_atom_site_type_symbol
_atom_site_fract_x
_atom_site_fract_y
_atom_site_fract_z
Ce1 Ce 0.0000 0.0000 0.0000
Zr1 Zr 0.0000 0.0000 0.5018
Zr2 Zr 0.0000 0.0000 0.7530
Ga1 Ga 0.0000 0.0000 0.2509
```

***

9.
Material: CeZr4Ga4
Method: DFT, PBE
State: optimized geometry

Properties
Energy relative to the elements = -200.5 kJ/mol of formula units
Crystal system = tetragonal

```
data_CeZr4Ga4
_chemical_formula_sum 'Ce2 Zr8 Ga8'
_symmetry_space_group_name_H-M 'P 42/n'
_symmetry_Int_Tables_number 86
_cell_length_a 9.101
_cell_length_b 9.101
_cell_length_c 5.386
_cell_angle_alpha 90.00
_cell_angle_beta 90.00
_cell_angle_gamma 90.00
loop_
_symmetry_equiv_pos_as_xyz
'x,y,z'
'-x,-y,-z'
'-y,x+1/2,z+1/2'
'y,-x+1/2,-z+1/2'
'-x+1/2,-y+1/2,z'
'x+1/2,y+1/2,-z'
'y+1/2,-x,z+1/2'
'-y+1/2,x,-z+1/2'
loop_
_atom_site_label
_atom_site_type_symbol
_atom_site_fract_x
_atom_site_fract_y
_atom_site_fract_z
Ce1 Ce 0.250 0.250 0.250
Zr1 Zr 0.129 0.634 0.144
Ga1 Ga 0.065 0.928 0.160
```

***

10.
Material: CeZrGa2
Method: DFT, PBE
State: optimized geometry

Properties
Energy relative to the elements = -174.5 kJ/mol of formula units
Crystal system = orthorhombic

```
data_CeZrGa2
_chemical_formula_sum 'Ce4 Zr4 Ga8'
_symmetry_space_group_name_H-M 'P n m a'
_symmetry_Int_Tables_number 62
_cell_length_a 7.628
_cell_length_b 4.270
_cell_length_c 10.690
_cell_angle_alpha 90.00
_cell_angle_beta 90.00
_cell_angle_gamma 90.00
loop_
_symmetry_equiv_pos_as_xyz
'x,y,z'
'-x,-y,-z'
'-x+1/2,-y,z+1/2'
'x+1/2,y,-z+1/2'
'x+1/2,-y+1/2,-z+1/2'
'-x+1/2,y+1/2,z+1/2'
'-x,y+1/2,-z'
'x,-y+1/2,z'
loop_
_atom_site_label
_atom_site_type_symbol
_atom_site_fract_x
_atom_site_fract_y
_atom_site_fract_z
Ce1 Ce 0.206 0.250 0.184
Zr1 Zr 0.047 0.750 0.404
Ga1 Ga 0.082 0.250 0.855
Ga2 Ga 0.204 0.750 0.977
```

***

11.
Material: CeZrGa2
Method: DFT, PBE
State: optimized geometry

Properties
Energy relative to the elements = -198.4 kJ/mol of formula units
Crystal system = tetragonal

```
data_CeZrGa2
_chemical_formula_sum 'Ce1 Zr1 Ga2'
_symmetry_space_group_name_H-M 'P 4/m m m'
_symmetry_Int_Tables_number 123
_symmetry_space_group_name_Hall '-P 4 2'
_cell_length_a 3.163
_cell_length_b 3.163
_cell_length_c 8.227
_cell_angle_alpha 90.00
_cell_angle_beta 90.00
_cell_angle_gamma 90.00
loop_
_atom_site_label
_atom_site_type_symbol
_atom_site_fract_x
_atom_site_fract_y
_atom_site_fract_z
Ce1 Ce 0.000 0.000 0.000
Zr1 Zr 0.000 0.000 0.500
Ga1 Ga 0.500 0.500 0.267
```

***

12.
Material: CeZr2Ga
Method: DFT, PBE
State: optimized geometry

Properties
Energy relative to the elements = -91.7 kJ/mol of formula units
Crystal system = tetragonal
Offset from the most stable computed form = 0 meV per atom

```
data_CeZr2Ga
_chemical_formula_sum 'Ce1 Zr2 Ga1'
_symmetry_space_group_name_H-M 'P 4/m m m'
_symmetry_Int_Tables_number 123
_symmetry_space_group_name_Hall '-P 4 2'
_cell_length_a 4.571
_cell_length_b 4.571
_cell_length_c 4.179
_cell_angle_alpha 90.00
_cell_angle_beta 90.00
_cell_angle_gamma 90.00
loop_
_atom_site_label
_atom_site_type_symbol
_atom_site_fract_x
_atom_site_fract_y
_atom_site_fract_z
Ce1 Ce 0.000 0.000 0.000
Zr1 Zr 0.000 0.500 0.500
Ga1 Ga 0.500 0.500 0.000
```

***

13.
Material: Ce2ZrGa
Method: DFT, PBE
State: optimized geometry

Properties
Energy relative to the elements = -98.9 kJ/mol of formula units
Crystal system = tetragonal
Offset from the most stable computed form = 0 meV per atom

```
data_Ce2ZrGa
_chemical_formula_sum 'Ce2 Zr1 Ga1'
_symmetry_space_group_name_H-M 'P 4/m m m'
_symmetry_Int_Tables_number 123
_symmetry_space_group_name_Hall '-P 4 2'
_cell_length_a 4.307
_cell_length_b 4.307
_cell_length_c 4.931
_cell_angle_alpha 90.00
_cell_angle_beta 90.00
_cell_angle_gamma 90.00
loop_
_atom_site_label
_atom_site_type_symbol
_atom_site_fract_x
_atom_site_fract_y
_atom_site_fract_z
Ce1 Ce 0.000 0.500 0.000
Zr1 Zr 0.000 0.000 0.500
Ga1 Ga 0.500 0.500 0.500
```

***

Number 1: total moment 3.2 μB/f.u.. Number 2: total moment 0.9 μB/f.u.. Number 3: total moment 1.8 μB/f.u.. Number 4: total moment 0.0 μB/f.u.. Number 5: total moment 0.6 μB/f.u.. Number 6: total moment 0.5 μB/f.u.. Number 7: total moment 0.0 μB/f.u.. Number 8: total moment 0.0 μB/f.u.. Number 9: total moment 1.1 μB/f.u.. Number 10: total moment 0.7 μB/f.u.. Number 11: total moment 0.1 μB/f.u.. Number 12: total moment 0.0 μB/f.u.. Number 13: total moment 0.0 μB/f.u..